First-principles (GGA-PBE) data for a relaxed structure of Pr2Nd12Er5, as listed in Alexandria.

Cell: 11.744 8.795 9.480 Å, 70.74 90.00 131.88°
Element x y z (fractional)
Pr  0.726  0.000  0.000
Pr  0.274  0.000  0.000
Nd  0.117  0.234  0.059
Nd  0.049  0.611  0.801
Nd  0.561  0.611  0.801
Nd  0.172  0.783  0.418
Nd  0.611  0.783  0.418
Nd  0.422  0.844  0.783
Nd  0.578  0.156  0.217
Nd  0.828  0.217  0.582
Nd  0.389  0.217  0.582
Nd  0.951  0.389  0.199
Nd  0.439  0.389  0.199
Nd  0.883  0.766  0.941
Er  0.195  0.391  0.661
Er  0.310  0.619  0.235
Er  0.000  0.000  0.500
Er  0.690  0.381  0.765
Er  0.805  0.609  0.339

* calculated volume: 34.4 Å³/atom
* Fermi-level density of states: 1.4232 states/eV per atom
* space group: C2/m
* formation energy: 0.110 eV per atom
* electronic total energy: -4.605 eV per atom